Below is a geometry-optimized Te2AsCl structure, with properties calculated at the GGA-PBE level.

The formation energy (no corrections) comes out at 373 meV per atom. Its volume is 24.48 Å³ per atom. The value obtained for the excess energy over the best structure of this formula in the dataset is 516 meV/atom. The value obtained for the uncorrected energy is -22.6 eV for the cell shown.

The space group is Cmmm (No. 65) and the conventional cell measures 6.121, 10.126 and 3.160 Å, with angles of 90.00, 90.00 and 90.00 degrees. The asymmetric unit holds Te at (0.250, 0.250, 0.000), As at (0.000, 0.000, 0.500) and Cl at (0.000, 0.500, 0.500).